VASP calculation (GGA-PBE) on a relaxed TaSi3As crystal.

Output
The energy above the most stable polymorph in this dataset comes out at 0.0 meV/atom. The value obtained for the density of states at the Fermi level is 1.133 states/eV per atom. The uncorrected formation energy is 0.965 eV per atom. As for the symmetry: Pm-3m (221). The value obtained for the magnetization is 0.0 μB per cell.

abc: 4.9034 4.9034 4.9034
angles: 90.00 90.00 90.00
Fractional positions:
Si 0.0000 0.5000 0.0000
Si 0.5000 0.0000 0.0000
Ta 0.0000 0.0000 0.0000
Si 0.0000 0.0000 0.5000
As 0.5000 0.5000 0.5000